Computed, not measured: an optimized crystal structure of KZrCdSe3 at the PBE level of DFT.

Output
Crystal system: monoclinic
E: -54.9 eV/cell
Spin magnetization: 0.00 μB per atom
SG: P2_1/m (11)
ρ: 4.6 Mg/m³

abc: 8.583 3.935 10.511
angles: 90.00 105.11 90.00
Element x y z (fractional)
Se1 0.130 0.750 0.342
Se2 0.416 0.250 0.616
Se3 0.584 0.750 0.384
Se4 0.651 0.750 0.910
Se5 0.870 0.250 0.658
Se6 0.349 0.250 0.090
Zr1 0.355 0.250 0.339
Zr2 0.645 0.750 0.661
Cd1 0.885 0.250 0.922
Cd2 0.115 0.750 0.078
K1 0.785 0.250 0.231
K2 0.215 0.750 0.769

=====

Computed, not measured: an optimized crystal structure of PrTlCdSe3 at the PBE level of DFT.

Output
Crystal system: orthorhombic
E: -99.5 eV/cell
Spin magnetization: 0.00 μB per atom
SG: Pnma (62)
ρ: 6.6 Mg/m³

abc: 12.160 4.475 12.794
angles: 90.00 90.00 90.00
Element x y z (fractional)
Tl1 0.664 0.000 0.499
Tl2 0.336 0.500 0.501
Tl3 0.164 0.000 0.001
Tl4 0.836 0.500 0.999
Cd1 0.249 0.500 0.798
Cd2 0.751 0.000 0.202
Cd3 0.251 0.000 0.298
Cd4 0.749 0.500 0.702
Pr1 0.977 0.500 0.325
Pr2 0.477 0.500 0.175
Pr3 0.523 0.000 0.825
Pr4 0.023 0.000 0.675
Se1 0.535 0.500 0.663
Se2 0.726 0.500 0.317
Se3 0.406 0.500 0.940
Se4 0.906 0.500 0.560
Se5 0.094 0.000 0.440
Se6 0.465 0.000 0.337
Se7 0.035 0.500 0.837
Se8 0.274 0.000 0.683
Se9 0.226 0.500 0.183
Se10 0.594 0.000 0.060
Se11 0.965 0.000 0.163
Se12 0.774 0.000 0.817

=====

Computed, not measured: an optimized crystal structure of LuPPb3 at the PBE level of DFT.

Output
Crystal system: cubic
E: -19.0 eV/cell
Spin magnetization: 0.00 μB per atom
SG: Pm-3m (221)
ρ: 8.6 Mg/m³

abc: 5.427 5.427 5.427
angles: 90.00 90.00 90.00
Element x y z (fractional)
Pb1 0.500 0.000 0.500
Pb2 0.500 0.500 0.000
Pb3 0.000 0.500 0.500
Lu1 0.000 0.000 0.000
P1 0.500 0.500 0.500

=====

Computed, not measured: an optimized crystal structure of Dy5Lu2Ni2Te2 at the PBE level of DFT.

Output
Crystal system: orthorhombic
E: -56.8 eV/cell
Spin magnetization: 0.00 μB per atom
SG: Imm2 (44)
ρ: 9.0 Mg/m³

abc: 9.302 9.302 9.302
angles: 156.28 67.11 118.26
Element x y z (fractional)
Dy1 0.053 0.419 0.633
Dy2 0.436 0.622 0.814
Dy3 0.786 0.419 0.367
Dy4 0.499 0.999 0.500
Dy5 0.807 0.622 0.186
Ni1 0.663 0.928 0.735
Ni2 0.194 0.928 0.265
Te1 0.765 0.765 0.000
Te2 0.164 0.664 0.500
Lu1 0.418 0.272 0.146
Lu2 0.126 0.272 0.854

=====

Computed, not measured: an optimized crystal structure of DyAl at the PBE level of DFT.

Output
Crystal system: hexagonal
E: -8.5 eV/cell
Spin magnetization: 0.01 μB per atom
SG: P-6m2 (187)
ρ: 6.3 Mg/m³

abc: 3.409 3.409 4.937
angles: 90.00 90.00 120.00
Element x y z (fractional)
Dy1 0.333 0.667 0.250
Al1 0.667 0.333 0.750

=====

Computed, not measured: an optimized crystal structure of LiBeAl2Cu4 at the PBE level of DFT.

Output
Crystal system: tetragonal
E: -29.4 eV/cell
SG: P4/mmm (123)
ρ: 5.6 Mg/m³

abc: 4.077 4.077 5.759
angles: 90.00 90.00 90.00
Element x y z (fractional)
Be1 0.000 0.000 0.500
Li1 0.500 0.500 0.000
Cu1 0.500 0.000 0.259
Cu2 0.000 0.500 0.259
Cu3 0.000 0.500 0.741
Cu4 0.500 0.000 0.741
Al1 0.500 0.500 0.500
Al2 0.000 0.000 0.000

=====

Please write out number 3 again, unchanged.
Computed, not measured: an optimized crystal structure of LuPPb3 at the PBE level of DFT.

Output
Crystal system: cubic
E: -19.0 eV/cell
Spin magnetization: 0.00 μB per atom
SG: Pm-3m (221)
ρ: 8.6 Mg/m³

abc: 5.427 5.427 5.427
angles: 90.00 90.00 90.00
Element x y z (fractional)
Pb1 0.500 0.000 0.500
Pb2 0.500 0.500 0.000
Pb3 0.000 0.500 0.500
Lu1 0.000 0.000 0.000
P1 0.500 0.500 0.500

=====

E of number 6 (LiBeAl2Cu4)? -29.4 eV/cell

=====

Look up the ρ of the first one. 4.6 Mg/m³